Record 1
The following is a DFT calculation (PBE) of a relaxed structure of NaCoSi2. Values from VASP.

Values from the calculation:
Fermi-level density of states	0.47	states/eV/f.u.
raw formation energy	0.09	eV/atom
electronic total energy	-18.9	eV/f.u.
size of the total moment	0.00	μB per formula unit
ΔE to the lowest computed polymorph	0	meV/atom

```
&SYSTEM
  ibrav = 0, nat = 16, ntyp = 3
/
ATOMIC_SPECIES
Na 22.99 Na.upf
Co 58.93 Co.upf
Si 28.09 Si.upf
CELL_PARAMETERS angstrom
5.152 0.000 0.000
0.000 5.152 0.000
0.000 0.000 13.565
ATOMIC_POSITIONS crystal
Na 0.000 0.250 0.375
Na 0.000 0.750 0.625
Na 0.500 0.250 0.125
Na 0.500 0.750 0.875
Co 0.000 0.250 0.875
Co 0.000 0.750 0.125
Co 0.500 0.250 0.625
Co 0.500 0.750 0.375
Si 0.000 0.000 0.000
Si 0.000 0.500 0.000
Si 0.250 0.250 0.750
Si 0.250 0.750 0.250
Si 0.500 0.000 0.500
Si 0.500 0.500 0.500
Si 0.750 0.250 0.750
Si 0.750 0.750 0.250
```

Record 2
The following is a DFT calculation (PBE) of a relaxed structure of Ca4UPa3N8. Values from VASP.

Values from the calculation:
Fermi-level density of states	11.83	states/eV/f.u.
raw formation energy	-1.40	eV/atom
electronic total energy	-136.7	eV/f.u.
size of the total moment	1.81	μB per formula unit

```
&SYSTEM
  ibrav = 0, nat = 16, ntyp = 4
/
ATOMIC_SPECIES
Ca 40.08 Ca.upf
U 238.03 U.upf
Pa 231.04 Pa.upf
N 14.01 N.upf
CELL_PARAMETERS angstrom
3.533 2.040 5.701
-3.533 2.040 5.701
0.000 -4.080 5.701
ATOMIC_POSITIONS crystal
Ca 0.000 0.000 0.000
Ca 0.000 0.500 0.500
Ca 0.500 0.000 0.500
Ca 0.500 0.500 0.000
U 0.500 0.500 0.500
Pa 0.000 0.000 0.500
Pa 0.000 0.500 0.000
Pa 0.500 0.000 0.000
N 0.238 0.238 0.238
N 0.242 0.736 0.736
N 0.264 0.264 0.758
N 0.264 0.758 0.264
N 0.736 0.242 0.736
N 0.736 0.736 0.242
N 0.758 0.264 0.264
N 0.762 0.762 0.762
```